(1)
VASP calculation (PBE) on a relaxed Li4ZnCd4 crystal.

- crystal system = tetragonal
- energy of formation (eV/atom) = -0.19

The structure in CIF format:
```
data_Li4ZnCd4
_chemical_formula_sum 'Li8 Zn2 Cd8'
_cell_length_a 9.010
_cell_length_b 9.010
_cell_length_c 4.077
_cell_angle_alpha 90.00
_cell_angle_beta 90.00
_cell_angle_gamma 90.00
_space_group_name_H-M_alt 'I 4/m m m'
_space_group_IT_number 139
_space_group_name_Hall '-I 4 2'
loop_
_atom_site_label
_atom_site_type_symbol
_atom_site_fract_x
_atom_site_fract_y
_atom_site_fract_z
Li1 Li 0.161 0.161 0.000
Zn1 Zn 0.000 0.000 0.500
Cd1 Cd 0.000 0.320 0.500
```


(2)
VASP calculation (PBE) on a relaxed TlRuCl crystal.

- crystal system = hexagonal
- energy relative to the elements, uncorrected (meV/atom) = 514
- excess energy over the best structure of this formula in the dataset (eV/atom) = 0.164

The structure in CIF format:
```
data_TlRuCl
_chemical_formula_sum 'Tl1 Ru1 Cl1'
_cell_length_a 4.4111
_cell_length_b 4.4111
_cell_length_c 3.4659
_cell_angle_alpha 90.00
_cell_angle_beta 90.00
_cell_angle_gamma 120.00
_space_group_name_H-M_alt 'P -6 m 2'
_space_group_IT_number 187
_space_group_name_Hall 'P -6 2'
loop_
_atom_site_label
_atom_site_type_symbol
_atom_site_fract_x
_atom_site_fract_y
_atom_site_fract_z
Tl1 Tl 0.0000 0.0000 0.0000
Ru1 Ru 0.3333 0.6667 0.5000
Cl1 Cl 0.6667 0.3333 0.5000
```


no.,electronic total energy (eV per atom),V (Å³ per cell),magnetization (μB per formula unit)
1,-1.589,331,0.0
2,-3.982,58,0.0